Entry 1:
A geometry-optimized Ho2ScRu2 structure. Source: Alexandria, functional PBE.

Computed properties:
- E_tot: -7.22 eV/atom
- Formation enthalpy at 0 K: -0.410 eV per atom

```
5
Lattice="3.828 0.006 1.631 1.329 5.014 2.188 -0.125 0.351 5.618" Properties=species:S:1:pos:R:3 pbc="T T T"
Ru 0.938 4.138 5.770
Ru 4.093 1.233 3.666
Ho 3.706 4.118 4.574
Ho 1.326 1.253 4.863
Sc 2.578 2.510 1.910
```

Entry 2:
A geometry-optimized Ca2Sb2Au structure. Source: Alexandria, functional PBE.

Computed properties:
- Uncorrected formation energy: -325 kJ/mol of formula units
- E above lowest polymorph: 0.0 meV per atom
- E_tot: -3.78 eV/atom

```
10
Lattice="-4.400 -4.693 -4.218 5.964 -4.772 -0.911 -1.238 -2.277 3.825" Properties=species:S:1:pos:R:3 pbc="T T T"
Sb 0.056 -7.090 -4.203
Sb 1.508 -2.375 -0.926
Sb 3.541 -5.772 -2.291
Sb -1.977 -3.693 -2.838
Au 0.000 0.000 0.000
Au 0.782 -4.733 -2.564
Ca 2.624 -5.104 0.601
Ca 1.416 -8.244 -1.659
Ca -1.090 -3.498 0.355
Ca -2.298 -6.639 -1.905
```

Entry 3:
A geometry-optimized Sm4ZrSb5 structure. Source: Alexandria, functional PBE.

Computed properties:
- Uncorrected formation energy: -992 kJ/mol of formula units
- E_tot: -5.83 eV/atom

```
10
Lattice="-1.546 -3.021 -2.812 -1.540 -2.364 3.386 -11.943 10.335 -1.082" Properties=species:S:1:pos:R:3 pbc="T T T"
Sm -4.216 -1.177 0.129
Sm -5.344 3.028 -0.315
Sm -10.812 6.127 -0.638
Sm -9.685 1.922 -0.194
Sb -1.543 -2.692 0.287
Sb -12.453 3.491 -0.357
Sb -6.938 0.365 -0.032
Sb -8.091 4.585 -0.477
Sb -2.575 1.460 -0.152
Zr 0.000 0.000 0.000
```

Entry 4:
A geometry-optimized Nd6ErTm4 structure. Source: Alexandria, functional PBE.

Computed properties:
- E above lowest polymorph: 0.0 meV per atom
- E_tot: -4.50 eV/atom
- Formation enthalpy at 0 K: 0.143 eV per atom

```
11
Lattice="3.552 0.000 0.000 0.000 11.029 0.000 0.000 -5.515 9.552" Properties=species:S:1:pos:R:3 pbc="T T T"
Tm 0.000 0.000 6.368
Tm 1.776 5.515 6.538
Tm 1.776 8.419 1.507
Tm 1.776 2.610 1.507
Nd 1.776 2.511 7.817
Nd 0.000 5.515 0.474
Nd 0.000 7.862 4.539
Nd 0.000 3.167 4.539
Nd 1.776 -2.511 7.817
Nd 1.776 0.000 3.468
Er 0.000 0.000 0.000
```

Entry 5:
A geometry-optimized MgCrFe2 structure. Source: Alexandria, functional PBE.

Computed properties:
- E_tot: -6.76 eV/atom
- Formation enthalpy at 0 K: 0.277 eV per atom

```
4
Lattice="-1.025 -2.018 -1.181 -0.438 -0.258 2.502 -7.206 4.148 -0.834" Properties=species:S:1:pos:R:3 pbc="T T T"
Cr -6.303 2.068 0.016
Fe -0.004 0.002 0.000
Fe -2.386 -0.186 0.469
Mg -3.580 2.061 -0.414
```

Entry 6:
A geometry-optimized Sr3Np2UAs6 structure. Source: Alexandria, functional PBE.

Computed properties:
- E_tot: -6.76 eV/atom
- Formation enthalpy at 0 K: -0.921 eV per atom

```
12
Lattice="7.366 -0.001 0.000 -3.682 6.380 0.000 -1.229 -2.127 7.108" Properties=species:S:1:pos:R:3 pbc="T T T"
As -1.213 2.100 1.530
As 2.425 -0.001 1.530
As 3.668 2.152 5.579
As -0.016 -0.027 5.580
As 2.472 4.279 1.529
As 0.030 4.253 5.579
Np 0.001 4.253 0.000
Np 3.683 2.127 0.000
Sr -2.448 4.249 3.554
Sr 1.228 2.126 3.554
Sr 4.903 0.003 3.554
U 0.000 0.000 0.000
```

Entry 7:
A geometry-optimized PmTmNb structure. Source: Alexandria, functional PBE.

Computed properties:
- E_tot: -6.23 eV/atom
- Formation enthalpy at 0 K: 0.198 eV per atom

```
6
Lattice="4.924 -1.097 -0.099 -1.314 5.740 -0.303 -2.753 -1.300 6.194" Properties=species:S:1:pos:R:3 pbc="T T T"
Nb 2.026 2.997 3.424
Nb -1.169 0.345 2.369
Tm 1.341 -0.158 4.233
Tm -0.484 3.501 1.559
Pm -0.641 2.476 5.088
Pm 1.498 0.867 0.704
```

Entry 8:
A geometry-optimized Ba3Sr3Ag2Au structure. Source: Alexandria, functional PBE.

Computed properties:
- E_tot: -2.49 eV/atom
- Formation enthalpy at 0 K: -0.289 eV per atom

```
9
Lattice="-2.024 -3.995 2.143 5.448 1.132 7.255 -8.203 4.032 -0.230" Properties=species:S:1:pos:R:3 pbc="T T T"
Ba -1.637 3.069 4.175
Ba -3.328 1.636 -0.093
Ba 2.210 0.459 2.943
Ag -4.665 1.068 3.336
Ag -0.114 0.101 5.831
Sr -1.694 -0.719 2.811
Sr 3.087 -1.146 6.530
Sr -7.183 1.036 0.898
Au 0.000 0.000 0.000
```